[1]
Below is Nd12Ni6Pt after structural relaxation, with properties calculated at the GGA-PBE level.

Cell: 8.2852 8.2852 8.2852 Å, 98.82 98.82 98.82°
Fractional positions:
Nd: 0.0608 0.6728 0.9087
Nd: 0.0913 0.9392 0.3272
Nd: 0.1815 0.4124 0.5732
Nd: 0.3272 0.0913 0.9392
Nd: 0.4124 0.5732 0.1815
Nd: 0.4268 0.8185 0.5876
Nd: 0.5732 0.1815 0.4124
Nd: 0.5876 0.4268 0.8185
Nd: 0.6728 0.9087 0.0608
Nd: 0.8185 0.5876 0.4268
Nd: 0.9087 0.0608 0.6728
Nd: 0.9392 0.3272 0.0913
Ni: 0.1320 0.6109 0.3121
Ni: 0.3121 0.1320 0.6109
Ni: 0.3891 0.6879 0.8680
Ni: 0.6109 0.3121 0.1320
Ni: 0.6879 0.8680 0.3891
Ni: 0.8680 0.3891 0.6879
Pt: 0.0000 0.0000 0.0000

Calculated values
**Calculated total energy**: -5.35 eV/atom
**Calculated volume**: 28.747 Å³/atom
**DOS at the Fermi energy**: 1.22 states/eV per atom
**Formation energy from the elements**: -3.649 eV per formula unit

---

[2]
Below is Nd2Ni2Pt after structural relaxation, with properties calculated at the GGA-PBE level.

Cell: 5.4214 5.4214 5.4214 Å, 134.38 115.11 82.90°
Fractional positions:
Nd: 0.2153 0.2153 0.0000
Nd: 0.7847 0.7847 0.0000
Ni: 0.2075 0.5000 0.7075
Ni: 0.7925 0.5000 0.2925
Pt: 0.5000 0.0000 0.5000

Calculated values
**Calculated total energy**: -6.00 eV/atom
**Calculated volume**: 19.874 Å³/atom
**DOS at the Fermi energy**: 0.81 states/eV per atom
**Formation energy from the elements**: -2.886 eV per formula unit

---

[3]
Below is NdNiPt after structural relaxation, with properties calculated at the GGA-PBE level.

Cell: 4.2621 4.2621 3.9179 Å, 90.00 90.00 120.00°
Fractional positions:
Nd: 0.0000 0.0000 0.0000
Ni: 0.3333 0.6667 0.5000
Pt: 0.6667 0.3333 0.5000

Calculated values
**Calculated total energy**: -6.25 eV/atom
**Calculated volume**: 20.545 Å³/atom
**DOS at the Fermi energy**: 1.00 states/eV per atom
**Formation energy from the elements**: -2.171 eV per formula unit

---

[4]
Below is NdNi2Pt6 after structural relaxation, with properties calculated at the GGA-PBE level.

Cell: 7.9563 7.9563 7.9563 Å, 60.00 60.00 60.00°
Fractional positions:
Nd: 0.1250 0.1250 0.1250
Nd: 0.8750 0.8750 0.8750
Ni: 0.0000 0.5000 0.5000
Ni: 0.5000 0.0000 0.5000
Ni: 0.5000 0.5000 0.0000
Ni: 0.5000 0.5000 0.5000
Pt: 0.1274 0.1274 0.6226
Pt: 0.1274 0.6226 0.1274
Pt: 0.1274 0.6226 0.6226
Pt: 0.3774 0.3774 0.8726
Pt: 0.3774 0.8726 0.3774
Pt: 0.3774 0.8726 0.8726
Pt: 0.6226 0.1274 0.1274
Pt: 0.6226 0.1274 0.6226
Pt: 0.6226 0.6226 0.1274
Pt: 0.8726 0.3774 0.3774
Pt: 0.8726 0.3774 0.8726
Pt: 0.8726 0.8726 0.3774

Calculated values
**Calculated total energy**: -5.80 eV/atom
**Calculated volume**: 19.786 Å³/atom
**DOS at the Fermi energy**: 1.24 states/eV per atom
**Formation energy from the elements**: 0.383 eV per formula unit

---

[5]
Below is Nd2NiPt after structural relaxation, with properties calculated at the GGA-PBE level.

Cell: 5.0534 5.0534 3.5448 Å, 90.00 90.00 90.00°
Fractional positions:
Nd: 0.0000 0.5000 0.0000
Nd: 0.5000 0.0000 0.0000
Ni: 0.0000 0.0000 0.5000
Pt: 0.5000 0.5000 0.5000

Calculated values
**Calculated total energy**: -5.97 eV/atom
**Calculated volume**: 22.630 Å³/atom
**DOS at the Fermi energy**: 0.87 states/eV per atom
**Formation energy from the elements**: -2.526 eV per formula unit

---

[6]
Below is Nd3NiPt2 after structural relaxation, with properties calculated at the GGA-PBE level.

Cell: 11.7520 4.1022 12.0419 Å, 90.00 90.00 90.00°
Fractional positions:
Nd: 0.0537 0.2500 0.1236
Nd: 0.1241 0.7500 0.5542
Nd: 0.2152 0.2500 0.8044
Nd: 0.2848 0.7500 0.3044
Nd: 0.3759 0.2500 0.0542
Nd: 0.4463 0.7500 0.6236
Nd: 0.5537 0.2500 0.3764
Nd: 0.6241 0.7500 0.9458
Nd: 0.7152 0.2500 0.6956
Nd: 0.7848 0.7500 0.1956
Nd: 0.8759 0.2500 0.4458
Nd: 0.9463 0.7500 0.8764
Ni: 0.1220 0.2500 0.3718
Ni: 0.3780 0.7500 0.8718
Ni: 0.6220 0.2500 0.1282
Ni: 0.8780 0.7500 0.6282
Pt: 0.0104 0.7500 0.3080
Pt: 0.1837 0.7500 0.9879
Pt: 0.3163 0.2500 0.4879
Pt: 0.4896 0.2500 0.8081
Pt: 0.5104 0.7500 0.1920
Pt: 0.6837 0.7500 0.5121
Pt: 0.8163 0.2500 0.0121
Pt: 0.9896 0.2500 0.6919

Calculated values
**Calculated total energy**: -6.22 eV/atom
**Calculated volume**: 24.189 Å³/atom
**DOS at the Fermi energy**: 0.57 states/eV per atom
**Formation energy from the elements**: -5.147 eV per formula unit

---

[7]
Below is NdNiPt4 after structural relaxation, with properties calculated at the GGA-PBE level.

Cell: 7.5378 4.0906 6.8386 Å, 90.00 90.00 90.00°
Fractional positions:
Nd: 0.2500 0.0000 0.1324
Nd: 0.7500 0.0000 0.8676
Ni: 0.2500 0.0000 0.7329
Ni: 0.7500 0.0000 0.2671
Pt: 0.0000 0.0000 0.5000
Pt: 0.0540 0.5000 0.8090
Pt: 0.2500 0.5000 0.4658
Pt: 0.4460 0.5000 0.8090
Pt: 0.5000 0.0000 0.5000
Pt: 0.5540 0.5000 0.1910
Pt: 0.7500 0.5000 0.5342
Pt: 0.9460 0.5000 0.1910

Calculated values
**Calculated total energy**: -6.30 eV/atom
**Calculated volume**: 17.572 Å³/atom
**DOS at the Fermi energy**: 1.44 states/eV per atom
**Formation energy from the elements**: -3.100 eV per formula unit

---

[8]
Below is NdNiPt after structural relaxation, with properties calculated at the GGA-PBE level.

Cell: 5.5073 5.5073 5.5557 Å, 90.00 90.00 135.92°
Fractional positions:
Nd: 0.1959 0.8041 0.7500
Nd: 0.8041 0.1959 0.2500
Ni: 0.5000 0.5000 0.0000
Ni: 0.5000 0.5000 0.5000
Pt: 0.0896 0.9104 0.2500
Pt: 0.9104 0.0896 0.7500

Calculated values
**Calculated total energy**: -6.22 eV/atom
**Calculated volume**: 19.536 Å³/atom
**DOS at the Fermi energy**: 0.62 states/eV per atom
**Formation energy from the elements**: -2.080 eV per formula unit

---

[9]
Below is Nd3NiPt after structural relaxation, with properties calculated at the GGA-PBE level.

Cell: 7.5008 6.9950 11.2878 Å, 90.00 119.57 90.00°
Fractional positions:
Nd: 0.0954 0.1836 0.2334
Nd: 0.0954 0.3164 0.7334
Nd: 0.3007 0.5097 0.0656
Nd: 0.3007 0.9903 0.5656
Nd: 0.3544 0.5123 0.5715
Nd: 0.3544 0.9877 0.0715
Nd: 0.6456 0.0123 0.9285
Nd: 0.6456 0.4877 0.4285
Nd: 0.6993 0.0097 0.4344
Nd: 0.6993 0.4903 0.9344
Nd: 0.9046 0.6836 0.2666
Nd: 0.9046 0.8164 0.7666
Ni: 0.0013 0.6992 0.5552
Ni: 0.0013 0.8008 0.0552
Ni: 0.9987 0.1992 0.9448
Ni: 0.9987 0.3008 0.4448
Pt: 0.3171 0.7109 0.8163
Pt: 0.3171 0.7891 0.3163
Pt: 0.6829 0.2109 0.6837
Pt: 0.6829 0.2891 0.1837

Calculated values
**Calculated total energy**: -5.77 eV/atom
**Calculated volume**: 25.754 Å³/atom
**DOS at the Fermi energy**: 0.87 states/eV per atom
**Formation energy from the elements**: -2.745 eV per formula unit

---

[10]
Below is NdNi2Pt5 after structural relaxation, with properties calculated at the GGA-PBE level.

Cell: 6.3002 6.3002 6.3002 Å, 144.42 107.12 83.81°
Fractional positions:
Nd: 0.0000 0.0000 0.0000
Ni: 0.2329 0.7329 0.5000
Ni: 0.7671 0.2671 0.5000
Pt: 0.1614 0.3483 0.8132
Pt: 0.4649 0.6517 0.8132
Pt: 0.5000 0.0000 0.5000
Pt: 0.5351 0.3483 0.1868
Pt: 0.8386 0.6517 0.1868

Calculated values
**Calculated total energy**: -6.16 eV/atom
**Calculated volume**: 16.885 Å³/atom
**DOS at the Fermi energy**: 1.40 states/eV per atom
**Formation energy from the elements**: -2.780 eV per formula unit

---

[11]
Below is Nd2Ni3Pt12Rh after structural relaxation, with properties calculated at the GGA-PBE level.

Cell: 8.1261 8.1261 8.1261 Å, 58.13 58.13 58.13°
Fractional positions:
Nd: 0.1242 0.1242 0.1242
Nd: 0.8758 0.8758 0.8758
Ni: 0.0000 0.5000 0.5000
Ni: 0.5000 0.0000 0.5000
Ni: 0.5000 0.5000 0.0000
Pt: 0.1131 0.6242 0.6242
Pt: 0.1262 0.1262 0.6278
Pt: 0.1262 0.6278 0.1262
Pt: 0.3722 0.8738 0.8738
Pt: 0.3758 0.3758 0.8869
Pt: 0.3758 0.8869 0.3758
Pt: 0.6242 0.1131 0.6242
Pt: 0.6242 0.6242 0.1131
Pt: 0.6278 0.1262 0.1262
Pt: 0.8738 0.3722 0.8738
Pt: 0.8738 0.8738 0.3722
Pt: 0.8869 0.3758 0.3758
Rh: 0.5000 0.5000 0.5000

Calculated values
**Calculated total energy**: -5.84 eV/atom
**Calculated volume**: 20.175 Å³/atom
**DOS at the Fermi energy**: 1.15 states/eV per atom
**Formation energy from the elements**: 1.633 eV per formula unit

---

[12]
Below is Nd2Ni3Sb4Pt after structural relaxation, with properties calculated at the GGA-PBE level.

Cell: 4.5447 4.5447 10.0851 Å, 90.00 90.00 90.00°
Fractional positions:
Nd: 0.0000 0.5000 0.2437
Nd: 0.5000 0.0000 0.7563
Ni: 0.0000 0.0000 0.0000
Ni: 0.0000 0.5000 0.6182
Ni: 0.5000 0.0000 0.3818
Sb: 0.0000 0.0000 0.5000
Sb: 0.0000 0.5000 0.8649
Sb: 0.5000 0.0000 0.1351
Sb: 0.5000 0.5000 0.5000
Pt: 0.5000 0.5000 0.0000

Calculated values
**Calculated total energy**: -5.62 eV/atom
**Calculated volume**: 20.830 Å³/atom
**DOS at the Fermi energy**: 0.37 states/eV per atom

---

[13]
Below is Nd2NiSb3Pt4 after structural relaxation, with properties calculated at the GGA-PBE level.

Cell: 4.5111 4.5111 10.5640 Å, 90.00 90.00 90.00°
Fractional positions:
Nd: 0.0000 0.5000 0.2457
Nd: 0.5000 0.0000 0.7543
Ni: 0.5000 0.5000 0.0000
Sb: 0.0000 0.0000 0.0000
Sb: 0.0000 0.5000 0.6357
Sb: 0.5000 0.0000 0.3644
Pt: 0.0000 0.0000 0.5000
Pt: 0.0000 0.5000 0.8788
Pt: 0.5000 0.0000 0.1212
Pt: 0.5000 0.5000 0.5000

Calculated values
**Calculated total energy**: -5.94 eV/atom
**Calculated volume**: 21.497 Å³/atom
**DOS at the Fermi energy**: 0.78 states/eV per atom

---

[14]
Below is NdScNiPt after structural relaxation, with properties calculated at the GGA-PBE level.

Cell: 4.8383 4.8383 4.8383 Å, 60.00 60.00 60.00°
Fractional positions:
Nd: 0.0000 0.0000 0.0000
Sc: 0.5000 0.5000 0.5000
Ni: 0.2500 0.2500 0.2500
Pt: 0.7500 0.7500 0.7500

Calculated values
**Calculated total energy**: -6.40 eV/atom
**Calculated volume**: 20.022 Å³/atom
**DOS at the Fermi energy**: 1.13 states/eV per atom
**Formation energy from the elements**: -2.687 eV per formula unit

---

[15]
Below is Nd2Si3NiPt4 after structural relaxation, with properties calculated at the GGA-PBE level.

Cell: 4.2580 4.2580 9.9266 Å, 90.00 90.00 90.00°
Fractional positions:
Nd: 0.0000 0.5000 0.2384
Nd: 0.5000 0.0000 0.7616
Si: 0.0000 0.0000 0.0000
Si: 0.0000 0.5000 0.6301
Si: 0.5000 0.0000 0.3699
Ni: 0.5000 0.5000 0.0000
Pt: 0.0000 0.0000 0.5000
Pt: 0.0000 0.5000 0.8692
Pt: 0.5000 0.0000 0.1308
Pt: 0.5000 0.5000 0.5000

Calculated values
**Calculated total energy**: -6.57 eV/atom
**Calculated volume**: 17.998 Å³/atom
**DOS at the Fermi energy**: 0.87 states/eV per atom

---

[16]
Below is Nd2SiNiPt6 after structural relaxation, with properties calculated at the GGA-PBE level.

Cell: 6.4608 6.4608 8.2185 Å, 127.23 127.23 50.13°
Fractional positions:
Nd: 0.2335 0.2335 0.1986
Nd: 0.7665 0.7665 0.8014
Si: 0.0000 0.0000 0.5000
Ni: 0.5000 0.5000 0.0000
Pt: 0.2488 0.7412 0.2552
Pt: 0.2505 0.2505 0.6103
Pt: 0.2588 0.7512 0.7448
Pt: 0.7412 0.2488 0.2552
Pt: 0.7495 0.7495 0.3897
Pt: 0.7512 0.2588 0.7448

Calculated values
**Calculated total energy**: -6.50 eV/atom
**Calculated volume**: 19.595 Å³/atom
**DOS at the Fermi energy**: 0.49 states/eV per atom

---

[17]
Below is Nd3Si2NiPt9 after structural relaxation, with properties calculated at the GGA-PBE level.

Cell: 6.3698 6.3698 8.8281 Å, 90.00 90.00 120.00°
Fractional positions:
Nd: 0.0000 0.0000 0.0000
Nd: 0.3333 0.6667 0.6862
Nd: 0.6667 0.3333 0.3138
Si: 0.3333 0.6667 0.1843
Si: 0.6667 0.3333 0.8157
Ni: 0.0000 0.0000 0.5000
Pt: 0.0000 0.5000 0.0000
Pt: 0.1432 0.2863 0.2827
Pt: 0.1432 0.8568 0.2827
Pt: 0.2863 0.1432 0.7173
Pt: 0.5000 0.0000 0.0000
Pt: 0.5000 0.5000 0.0000
Pt: 0.7137 0.8568 0.2827
Pt: 0.8568 0.1432 0.7173
Pt: 0.8568 0.7137 0.7173

Calculated values
**Calculated total energy**: -6.36 eV/atom
**Calculated volume**: 20.681 Å³/atom
**DOS at the Fermi energy**: 0.62 states/eV per atom

---

[18]
Below is Nd2Si3Ni4Pt after structural relaxation, with properties calculated at the GGA-PBE level.

Cell: 4.0606 4.0606 9.8188 Å, 90.00 90.00 90.00°
Fractional positions:
Nd: 0.0000 0.5000 0.2493
Nd: 0.5000 0.0000 0.7507
Si: 0.0000 0.5000 0.8821
Si: 0.5000 0.0000 0.1179
Si: 0.5000 0.5000 0.5000
Ni: 0.0000 0.0000 0.0000
Ni: 0.0000 0.5000 0.6464
Ni: 0.5000 0.0000 0.3536
Ni: 0.5000 0.5000 0.0000
Pt: 0.0000 0.0000 0.5000

Calculated values
**Calculated total energy**: -6.22 eV/atom
**Calculated volume**: 16.189 Å³/atom
**DOS at the Fermi energy**: 0.65 states/eV per atom

---

[19]
Below is NdSiNiPt6 after structural relaxation, with properties calculated at the GGA-PBE level.

Cell: 7.9473 7.9473 7.9473 Å, 126.24 114.02 90.10°
Fractional positions:
Nd: 0.4019 0.1519 0.2500
Nd: 0.5981 0.8481 0.7500
Si: 0.0000 0.5000 0.5000
Si: 0.5000 0.5000 0.0000
Ni: 0.0000 0.0000 0.5000
Ni: 0.0000 0.5000 0.0000
Pt: 0.1130 0.3723 0.2328
Pt: 0.1130 0.8802 0.7407
Pt: 0.1432 0.8932 0.2500
Pt: 0.3406 0.5906 0.7500
Pt: 0.3606 0.1198 0.7328
Pt: 0.3606 0.6277 0.2407
Pt: 0.6394 0.3723 0.7593
Pt: 0.6394 0.8802 0.2672
Pt: 0.6594 0.4094 0.2500
Pt: 0.8568 0.1068 0.7500
Pt: 0.8870 0.1198 0.2593
Pt: 0.8870 0.6277 0.7672

Calculated values
**Calculated total energy**: -6.11 eV/atom
**Calculated volume**: 19.400 Å³/atom
**DOS at the Fermi energy**: 0.67 states/eV per atom

---

[20]
Below is NdNiSnPt3 after structural relaxation, with properties calculated at the GGA-PBE level.

Cell: 6.4078 6.4078 7.5055 Å, 90.00 90.00 127.56°
Fractional positions:
Nd: 0.1809 0.8191 0.7500
Nd: 0.8191 0.1809 0.2500
Ni: 0.4167 0.5833 0.7500
Ni: 0.5833 0.4167 0.2500
Sn: 0.1249 0.8751 0.2500
Sn: 0.8751 0.1249 0.7500
Pt: 0.2544 0.2544 0.0000
Pt: 0.2544 0.2544 0.5000
Pt: 0.3525 0.6475 0.2500
Pt: 0.6475 0.3525 0.7500
Pt: 0.7456 0.7456 0.0000
Pt: 0.7456 0.7456 0.5000

Calculated values
**Calculated total energy**: -5.98 eV/atom
**Calculated volume**: 20.357 Å³/atom
**DOS at the Fermi energy**: 0.42 states/eV per atom
**Formation energy from the elements**: -3.202 eV per formula unit